(1)
Computed, not measured: PmSm3Er6Th2 after structural relaxation at the GGA-PBE level of DFT.

Cell: 6.1871 6.1871 11.6926 Å, 95.07 95.07 119.98°
Closest atoms and distances in Å follow each position.
Element x y z (fractional)
Er 0.4204 0.0824 0.2467  2 Th 3.50, 1 Pm 3.53, 6 Er 3.55-3.62, 3 Sm 3.56-3.58
Er 0.0824 0.4204 0.2467  2 Th 3.50, 1 Pm 3.53, 6 Er 3.55-3.62, 3 Sm 3.56-3.58
Er 0.2557 0.2557 0.7531  2 Th 3.50, 1 Pm 3.53, 6 Er 3.55-3.62, 3 Sm 3.55-3.57
Er 0.9176 0.5796 0.7533  2 Th 3.50, 1 Pm 3.53, 6 Er 3.55-3.62, 3 Sm 3.56-3.58
Er 0.5796 0.9176 0.7533  2 Th 3.50, 1 Pm 3.53, 6 Er 3.55-3.62, 3 Sm 3.56-3.58
Er 0.7443 0.7443 0.2469  2 Th 3.50, 1 Pm 3.53, 6 Er 3.55-3.62, 3 Sm 3.55-3.57
Sm 0.1662 0.8338 0.5000  6 Er 3.56-3.58, 6 Sm 3.56-3.58
Sm 0.5000 0.5000 0.5000  6 Er 3.55-3.58, 6 Sm 3.57-3.58
Sm 0.8338 0.1662 0.5000  6 Er 3.56-3.58, 6 Sm 3.56-3.58
Th 0.3333 0.6667 0.0000  6 Er 3.50, 3 Pm 3.57, 3 Th 3.57
Th 0.6667 0.3333 0.0000  6 Er 3.50, 3 Pm 3.57, 3 Th 3.57
Pm 0.0000 0.0000 0.0000  6 Er 3.53, 6 Th 3.57

Output
DFT total energy = -5.070 eV per atom
spin magnetization = 0.00 μB/f.u.
SG = No. 12
crystal system = monoclinic
energy of formation from the pure elements = 0.0242 eV per atom


(2)
Computed, not measured: MgPtF5 after structural relaxation at the GGA-PBE level of DFT.

Cell: 5.3372 5.3372 9.0245 Å, 65.24 65.24 77.72°
Closest atoms and distances in Å follow each position.
Element x y z (fractional)
F 0.6916 0.7418 0.1511  1 Mg 1.94, 1 Pt 1.99
F 0.3084 0.2582 0.8489  1 Mg 1.94, 1 Pt 1.99
F 0.6772 0.2631 0.4807  1 Mg 1.99, 1 Pt 2.00
F 0.0379 0.9621 0.7500  1 Mg 2.06, 2 Pt 2.27
F 0.9621 0.0379 0.2500  1 Mg 2.06, 2 Pt 2.27
F 0.2631 0.6772 0.9807  1 Mg 1.99, 1 Pt 2.00
F 0.2582 0.3084 0.3489  1 Mg 1.94, 1 Pt 1.99
F 0.7369 0.3228 0.0193  1 Mg 1.99, 1 Pt 2.00
F 0.3228 0.7369 0.5193  1 Mg 1.99, 1 Pt 2.00
F 0.7418 0.6916 0.6511  1 Mg 1.94, 1 Pt 1.99
Pt 0.0000 0.0000 0.5000  4 F 1.99-2.00
Pt 0.0000 0.0000 0.0000  4 F 1.99-2.00
Mg 0.6542 0.3458 0.2500  5 F 1.94-2.06
Mg 0.3458 0.6542 0.7500  5 F 1.94-2.06

Output
DFT total energy = -4.554 eV per atom
spin magnetization = 0.00 μB/f.u.
SG = No. 15
E_form (uncorrected) = -2.13 eV/atom
crystal system = monoclinic


(3)
Computed, not measured: LiSi2 after structural relaxation at the GGA-PBE level of DFT.

Cell: 4.0438 6.1168 8.8783 Å, 90.00 121.05 90.00°
Closest atoms and distances in Å follow each position.
Element x y z (fractional)
Si 0.1461 0.6962 0.4023  4 Si 2.40-2.55
Si 0.8539 0.1962 0.0977  4 Si 2.40-2.55
Si 0.1461 0.3038 0.4023  4 Si 2.40-2.55
Si 0.8539 0.3038 0.5977  4 Si 2.40-2.55
Si 0.1461 0.8038 0.9023  4 Si 2.40-2.55
Si 0.8539 0.8038 0.0977  4 Si 2.40-2.55
Si 0.1461 0.1962 0.9023  4 Si 2.40-2.55
Si 0.8539 0.6962 0.5977  4 Si 2.40-2.55
Li 0.5879 0.5000 0.8332  10 Si 2.74-3.05
Li 0.4121 0.0000 0.6668  10 Si 2.74-3.05
Li 0.5879 0.0000 0.3332  10 Si 2.74-3.05
Li 0.4121 0.5000 0.1668  10 Si 2.74-3.05

Output
excess energy over the best structure of this formula in the dataset = 0.00 kJ per mole of atoms
DFT total energy = -4.293 eV per atom
spin magnetization = 0.00 μB/f.u.
SG = No. 12
E_form (uncorrected) = -0.04 eV/atom
crystal system = monoclinic


(4)
Computed, not measured: NaHIO after structural relaxation at the GGA-PBE level of DFT.

Cell: 3.3123 3.3116 8.2009 Å, 101.65 102.21 90.00°
Closest atoms and distances in Å follow each position.
Element x y z (fractional)
O 0.1826 0.8270 0.6540  1 H 0.98
H 0.2472 0.8892 0.7785  1 O 0.98
Na 0.6602 0.3057 0.6115  4 O 2.37
I 0.9291 0.5652 0.1305  4 I 3.31, 4 H 3.62

Output
DFT total energy = -3.714 eV per atom
spin magnetization = 0.14 μB/f.u.
SG = No. 8
crystal system = monoclinic